10
Lattice="4.069 0.000 0.000 0.000 4.063 -0.219 0.000 0.614 11.173" Properties=species:S:1:pos:R:3 comment="LaCu2Pt2 (PBE-GGA, relaxed)" delta_e_f_ev_per_atom=-0.581 dos_at_fermi_per_ev_cell=3.11 e_above_lowest_polymorph_mev_per_atom=12 magmom_total_mub_per_atom=0.0000 dft_energy_ev_per_atom=-5.62 pbc="T T T"
Pt 1.017 3.445 7.010
Pt 1.017 1.016 -0.055
Pt 3.052 1.232 3.944
Pt 3.052 3.661 11.009
Cu 1.017 3.578 9.459
Cu 3.052 1.099 1.495
Cu 3.052 3.347 5.423
Cu 1.017 1.330 5.531
La 3.052 1.482 8.392
La 1.017 3.195 2.562